CoPtBr2 | PBE-GGA | relaxed

Lattice parameters (Å, degrees): 8.0595 8.0595 8.0595 25.47 25.47 25.47
With the nearest neighbours (Å) after each atom.
Atoms (fractional coordinates):
Co 0.0000 0.0000 0.0000  6 Br 2.52
Pt 0.5000 0.5000 0.5000  2 Br 2.43
Br 0.3959 0.3959 0.3959  1 Pt 2.43, 3 Co 2.52
Br 0.6041 0.6041 0.6041  1 Pt 2.43, 3 Co 2.52

D(E_F): 3.39 states/eV per atom
Magnetic moment: 2.2 μB per formula unit
E above lowest polymorph: 0.273 eV per atom
Raw formation energy: 31.2 kJ per mole of atoms



CoPtBr2 | PBE-GGA | relaxed

Lattice parameters (Å, degrees): 3.7474 3.5752 7.2437 90.00 91.01 90.00
With the nearest neighbours (Å) after each atom.
Atoms (fractional coordinates):
Co 0.0000 0.0000 0.0000  3 Br 2.48-2.51, 4 Pt 2.62-2.72
Pt 0.4796 0.5000 0.9105  3 Br 2.51-2.66, 4 Co 2.62-2.72
Br 0.1990 0.5000 0.2226  1 Pt 2.51, 2 Co 2.51
Br 0.7486 0.0000 0.6803  1 Co 2.48, 2 Pt 2.66

D(E_F): 0.78 states/eV per atom
Magnetic moment: 3.0 μB per formula unit
E above lowest polymorph: 0.091 eV per atom
Raw formation energy: 13.6 kJ per mole of atoms



CoPtBr2 | PBE-GGA | relaxed

Lattice parameters (Å, degrees): 4.9981 4.9981 4.9526 117.58 117.58 94.34
With the nearest neighbours (Å) after each atom.
Atoms (fractional coordinates):
Co 0.0000 0.0000 0.0000  4 Br 2.58
Pt 0.5000 0.5000 0.0000  4 Br 2.58
Br 0.0000 0.5000 0.5000  2 Co 2.58, 2 Pt 2.58
Br 0.5000 0.0000 0.5000  2 Co 2.58, 2 Pt 2.58

D(E_F): 1.04 states/eV per atom
Magnetic moment: 2.4 μB per formula unit
E above lowest polymorph: 0.489 eV per atom
Raw formation energy: 52.0 kJ per mole of atoms



CoPtBr2 | PBE-GGA | relaxed

Lattice parameters (Å, degrees): 7.0502 7.0502 7.0502 149.91 149.91 43.08
With the nearest neighbours (Å) after each atom.
Atoms (fractional coordinates):
Co 0.0000 0.0000 0.0000  4 Br 2.59
Pt 0.2500 0.7500 0.5000  4 Br 2.59
Br 0.5000 0.5000 0.0000  4 Co 2.59
Br 0.7500 0.2500 0.5000  4 Pt 2.59

D(E_F): 1.44 states/eV per atom
Magnetic moment: 2.3 μB per formula unit
E above lowest polymorph: 0.530 eV per atom
Raw formation energy: 55.9 kJ per mole of atoms



Co2PtBr6 | PBE-GGA | relaxed

Lattice parameters (Å, degrees): 9.2452 9.2452 6.9430 107.11 107.11 81.60
With the nearest neighbours (Å) after each atom.
Atoms (fractional coordinates):
Co 0.1137 0.2829 0.1124  4 Br 2.32-2.46
Co 0.2829 0.1137 0.6124  4 Br 2.32-2.46
Co 0.7171 0.8863 0.3876  4 Br 2.32-2.46
Co 0.8863 0.7171 0.8876  4 Br 2.32-2.46
Pt 0.2526 0.7474 0.2500  4 Br 2.48-2.65
Pt 0.7474 0.2526 0.7500  4 Br 2.48-2.65
Br 0.0616 0.2224 0.7300  2 Co 2.40-2.46
Br 0.1415 0.6549 0.8668  1 Co 2.38, 1 Pt 2.48
Br 0.2224 0.0616 0.2300  2 Co 2.40-2.46
Br 0.2780 0.4732 0.3072  1 Co 2.32
Br 0.3451 0.8585 0.6332  1 Co 2.38, 1 Pt 2.48
Br 0.4732 0.2780 0.8072  1 Co 2.32
Br 0.5268 0.7220 0.1928  1 Co 2.32
Br 0.6549 0.1415 0.3668  1 Co 2.38, 1 Pt 2.48
Br 0.7220 0.5268 0.6928  1 Co 2.32
Br 0.7776 0.9384 0.7700  2 Co 2.40-2.46
Br 0.8585 0.3451 0.1332  1 Co 2.38, 1 Pt 2.48
Br 0.9384 0.7776 0.2700  2 Co 2.40-2.46

D(E_F): 0.48 states/eV per atom
Magnetic moment: 5.1 μB per formula unit
Raw formation energy: -14.9 kJ per mole of atoms



CoPtBr4 | PBE-GGA | relaxed

Lattice parameters (Å, degrees): 7.4353 7.4353 6.5087 112.88 112.88 30.36
With the nearest neighbours (Å) after each atom.
Atoms (fractional coordinates):
Co 0.0000 0.0000 0.0000  6 Br 2.51-2.65
Pt 0.5000 0.5000 0.5000  6 Br 2.52-2.68
Br 0.1083 0.1083 0.7776  1 Co 2.51, 2 Pt 2.68
Br 0.3948 0.3948 0.7311  1 Pt 2.52, 2 Co 2.65
Br 0.6052 0.6052 0.2689  1 Pt 2.52, 2 Co 2.65
Br 0.8917 0.8917 0.2224  1 Co 2.51, 2 Pt 2.68

D(E_F): 1.36 states/eV per atom
Magnetic moment: 3.5 μB per formula unit
E above lowest polymorph: 0.000 eV per atom
Raw formation energy: -10.9 kJ per mole of atoms